18
Lattice="5.110 0.000 0.000 0.000 5.110 0.000 0.000 0.000 7.190" Properties=species:S:1:pos:R:3 comment="PrNi4B4 PBE optimized geometry" crystal_system=tetragonal spacegroup=P4_2/nmc delta_e_f_ev_per_fu=-3.186 relative_energy_mev_per_atom=28 pbc="T T T"
B 0.863 2.555 1.161
B 0.000 3.418 4.756
B 4.247 2.555 1.161
B 2.555 4.247 6.030
B 2.555 0.863 6.030
B 1.692 0.000 2.434
B 0.000 1.692 4.756
B 3.418 0.000 2.434
Ni 3.826 2.555 6.231
Ni 2.555 3.826 0.959
Ni 0.000 1.271 2.636
Ni 3.840 0.000 4.554
Ni 1.271 0.000 4.554
Ni 0.000 3.840 2.636
Ni 1.284 2.555 6.231
Ni 2.555 1.284 0.959
Pr 0.000 0.000 0.000
Pr 2.555 2.555 3.595